Below is a relaxed Ce2NiRu3 crystal, with properties calculated at the GGA-PBE level.

Total moment in μB per cell: 0.00
Mass density in kg/m³: 10222
Space-group type: R-3m (166)
Energy of formation from the pure elements in eV/atom: -0.33
Energy in eV for the cell shown: -47.5

abc: 5.221 5.221 5.221
angles: 61.62 61.62 61.62
Atoms (fractional coordinates):
Ce  0.124  0.124  0.124
Ce  0.876  0.876  0.876
Ni  0.500  0.500  0.500
Ru  0.000  0.500  0.500
Ru  0.500  0.000  0.500
Ru  0.500  0.500  0.000

=====

Below is a relaxed K3SiF7 crystal, with properties calculated at the GGA-PBE level.

Total moment in μB per cell: 0.21
Mass density in kg/m³: 2691
Space-group type: P4/mbm (127)
Energy in eV for the cell shown: -111.1
Energy relative to the elements, uncorrected in eV per atom: -3.069

abc: 7.819 7.819 5.619
angles: 90.00 90.00 90.00
Atoms (fractional coordinates):
K  0.000  0.000  0.000
K  0.195  0.305  0.500
K  0.305  0.805  0.500
K  0.500  0.500  0.000
K  0.695  0.195  0.500
K  0.805  0.695  0.500
Si  0.000  0.500  0.000
Si  0.500  0.000  0.000
F  0.000  0.000  0.500
F  0.109  0.609  0.218
F  0.109  0.609  0.782
F  0.155  0.345  0.000
F  0.345  0.845  0.000
F  0.391  0.109  0.218
F  0.391  0.109  0.782
F  0.500  0.500  0.500
F  0.609  0.891  0.218
F  0.609  0.891  0.782
F  0.655  0.155  0.000
F  0.845  0.655  0.000
F  0.891  0.391  0.218
F  0.891  0.391  0.782

=====

Below is a relaxed LiIn5Sn4 crystal, with properties calculated at the GGA-PBE level.

Total moment in μB per cell: 0.00
Mass density in kg/m³: 6659
Space-group type: P4/mmm (123)
Energy of formation from the pure elements in eV/atom: -0.02
Energy in eV for the cell shown: -31.8

abc: 4.020 4.020 16.295
angles: 90.00 90.00 90.00
Atoms (fractional coordinates):
Li  0.000  0.000  0.000
In  0.500  0.500  0.096
In  0.500  0.500  0.293
In  0.500  0.500  0.500
In  0.500  0.500  0.707
In  0.500  0.500  0.904
Sn  0.000  0.000  0.186
Sn  0.000  0.000  0.393
Sn  0.000  0.000  0.607
Sn  0.000  0.000  0.814

=====

Below is a relaxed SrBe2Sb crystal, with properties calculated at the GGA-PBE level.

Total moment in μB per cell: 0.00
Mass density in kg/m³: 4386
Space-group type: Pm (6)
Energy in eV for the cell shown: -13.1
Energy relative to the elements, uncorrected in eV per atom: 0.042

abc: 3.927 3.949 5.869
angles: 90.00 108.96 90.00
Atoms (fractional coordinates):
Sr  0.000  0.000  0.000
Be  0.647  0.500  0.297
Be  0.703  0.000  0.419
Sb  0.280  0.500  0.569

=====

Below is a relaxed IrRhS2Cl crystal, with properties calculated at the GGA-PBE level.

Total moment in μB per cell: 2.15
Mass density in kg/m³: 6703
Space-group type: P4/mmm (123)
Energy in eV for the cell shown: -20.9
Energy relative to the elements, uncorrected in eV per atom: 1.077

abc: 4.602 4.602 4.617
angles: 90.00 90.00 90.00
Atoms (fractional coordinates):
Ir  0.000  0.000  0.000
Rh  0.500  0.500  0.500
S  0.000  0.500  0.500
S  0.500  0.000  0.500
Cl  0.500  0.500  0.000

=====

Below is a relaxed Ca3CdGa crystal, with properties calculated at the GGA-PBE level.

Total moment in μB per cell: 0.00
Mass density in kg/m³: 2650
Space-group type: Pm-3m (221)
Energy of formation from the pure elements in eV/atom: -0.07
Energy in eV for the cell shown: -10.3

abc: 5.744 5.744 5.744
angles: 90.00 90.00 90.00
Atoms (fractional coordinates):
Ca  0.000  0.000  0.500
Ca  0.000  0.500  0.000
Ca  0.500  0.000  0.000
Cd  0.500  0.500  0.500
Ga  0.000  0.000  0.000

=====

Below is a relaxed CsK2CaTl crystal, with properties calculated at the GGA-PBE level.

Total moment in μB per cell: 0.00
Mass density in kg/m³: 2426
Space-group type: P4/mmm (123)
Energy of formation from the pure elements in eV/atom: 0.03
Energy in eV for the cell shown: -7.3

abc: 7.077 7.077 6.227
angles: 90.00 90.00 90.00
Atoms (fractional coordinates):
Cs  0.000  0.000  0.000
K  0.000  0.500  0.500
K  0.500  0.000  0.500
Ca  0.500  0.500  0.000
Tl  0.500  0.500  0.500

=====

Below is a relaxed Sm3Os2C4 crystal, with properties calculated at the GGA-PBE level.

Total moment in μB per cell: 0.00
Mass density in kg/m³: 10183
Space-group type: C2/m (12)
Energy of formation from the pure elements in eV/atom: 0.08
Energy in eV for the cell shown: -72.8

abc: 6.247 6.247 7.005
angles: 94.45 94.45 31.77
Atoms (fractional coordinates):
Sm  0.000  0.000  0.000
Sm  0.370  0.370  0.470
Sm  0.630  0.630  0.530
Os  0.269  0.269  0.846
Os  0.731  0.731  0.154
C  0.177  0.177  0.286
C  0.352  0.352  0.102
C  0.648  0.648  0.898
C  0.823  0.823  0.714

=====

Below is a relaxed Gd2AgH crystal, with properties calculated at the GGA-PBE level.

Total moment in μB per cell: 14.19
Mass density in kg/m³: 7923
Space-group type: R-3m (166)
Energy in eV for the cell shown: -34.1

abc: 8.971 8.971 8.971
angles: 21.99 21.99 21.99
Atoms (fractional coordinates):
Gd  0.114  0.114  0.114
Gd  0.886  0.886  0.886
Ag  0.000  0.000  0.000
H  0.500  0.500  0.500

=====

Below is a relaxed HoAgHg crystal, with properties calculated at the GGA-PBE level.

Total moment in μB per cell: 0.00
Mass density in kg/m³: 11495
Space-group type: P-6m2 (187)
Energy of formation from the pure elements in eV/atom: -0.34
Energy in eV for the cell shown: -8.8

abc: 4.866 4.866 3.335
angles: 90.00 90.00 120.00
Atoms (fractional coordinates):
Ho  0.000  0.000  0.000
Ag  0.667  0.333  0.500
Hg  0.333  0.667  0.500

=====

Below is a relaxed KSmMnS3 crystal, with properties calculated at the GGA-PBE level.

Total moment in μB per cell: 10.01
Mass density in kg/m³: 3373
Space-group type: P2_1/m (11)
Energy in eV for the cell shown: -71.4
Energy relative to the elements, uncorrected in eV per atom: -1.392

abc: 8.819 4.137 9.541
angles: 90.00 105.54 90.00
Atoms (fractional coordinates):
K  0.197  0.250  0.222
K  0.803  0.750  0.778
Sm  0.335  0.750  0.855
Sm  0.665  0.250  0.145
Mn  0.087  0.250  0.608
Mn  0.913  0.750  0.392
S  0.115  0.250  0.857
S  0.194  0.750  0.534
S  0.454  0.750  0.154
S  0.546  0.250  0.846
S  0.806  0.250  0.466
S  0.885  0.750  0.143

=====

Below is a relaxed EuTlGeAu crystal, with properties calculated at the GGA-PBE level.

Total moment in μB per cell: 7.05
Mass density in kg/m³: 10781
Space-group type: F-43m (216)
Energy of formation from the pure elements in eV/atom: -0.34
Energy in eV for the cell shown: -21.9

abc: 5.147 5.147 5.147
angles: 60.00 60.00 60.00
Atoms (fractional coordinates):
Eu  0.000  0.000  0.000
Tl  0.500  0.500  0.500
Ge  0.250  0.250  0.250
Au  0.750  0.750  0.750

=====

Q: Among the records above, which one has the highest mass density?
A: HoAgHg